# HfNbPt3

A relaxed HfNbPt3 crystal (GGA-PBE, Alexandria).

Results
**Total magnetic moment**: 0.000 μB per formula unit
**SG**: No. 63
**Crystal system**: orthorhombic
**ΔE_f**: -0.513 eV/atom

Lattice parameters (Å, degrees): 5.0959 5.3153 7.4735 110.83 90.00 90.00
With the nearest neighbours (Å) after each atom.
Atoms (fractional coordinates):
Nb (0.2500, 0.5266, 0.0532)  2 Nb 2.65, 6 Pt 2.79-2.97
Nb (0.7500, 0.4734, 0.9468)  2 Nb 2.65, 6 Pt 2.79-2.97
Pt (0.5000, 0.0000, 0.0000)  6 Pt 2.55-2.78
Pt (0.2500, 0.6002, 0.7021)  3 Hf 2.64-2.93, 4 Pt 2.65-2.78, 1 Nb 2.79
Pt (0.7500, 0.8981, 0.2979)  3 Hf 2.64-2.93, 4 Pt 2.65-2.78, 1 Nb 2.79
Pt (0.2500, 0.1019, 0.7021)  3 Hf 2.64-2.93, 4 Pt 2.65-2.78, 1 Nb 2.79
Pt (0.0000, 0.0000, 0.0000)  6 Pt 2.55-2.78
Pt (0.7500, 0.3998, 0.2979)  3 Hf 2.64-2.93, 4 Pt 2.65-2.78, 1 Nb 2.79
Hf (0.2500, 0.1879, 0.3758)  8 Pt 2.64-2.93
Hf (0.7500, 0.8121, 0.6242)  8 Pt 2.64-2.93